(1)
A relaxed structure of ZnFeAgSb, computed with PBE.

Summary:
Distance to the lowest polymorph of the same formula = 0.000 eV per atom
Space-group type = F-43m (216)
Size of the total moment = 2.19 μB per formula unit

Cell: 4.612 4.612 4.612 Å, 60.00 60.00 60.00°
Element x y z (fractional)
Ag 0.250 0.250 0.250
Fe 0.750 0.750 0.750
Zn 0.500 0.500 0.500
Sb 0.000 0.000 0.000

=====

(2)
A relaxed structure of HfSi2SnO7, computed with PBE.

Summary:
E_tot = -8.075 eV per atom
Space-group type = C2 (5)
Size of the total moment = 0.00 μB per formula unit

Cell: 5.533 5.533 4.668 Å, 96.65 96.65 102.05°
Element x y z (fractional)
O 0.068 0.932 0.500
O 0.632 0.640 0.262
O 0.360 0.368 0.738
O 0.026 0.332 0.240
O 0.437 0.144 0.241
O 0.856 0.563 0.759
O 0.668 0.974 0.760
Sn 0.289 0.711 0.000
Hf 0.688 0.312 0.000
Si 0.796 0.780 0.571
Si 0.220 0.204 0.429

=====

(3)
A relaxed structure of Ag2As2Pb, computed with PBE.

Summary:
E_tot = -3.647 eV per atom
Space-group type = I4/mmm (139)

Cell: 6.293 6.293 6.293 Å, 137.71 137.71 61.34°
Element x y z (fractional)
As 0.386 0.386 0.000
As 0.614 0.614 0.000
Pb 0.000 0.000 0.000
Ag 0.750 0.250 0.500
Ag 0.250 0.750 0.500

=====

(4)
A relaxed structure of DyHoZn2In, computed with PBE.

Summary:
E_tot = -3.310 eV per atom
Space-group type = Amm2 (38)
Size of the total moment = 0.03 μB per formula unit

Cell: 3.600 7.428 7.428 Å, 34.49 90.00 90.00°
Element x y z (fractional)
In 0.500 0.000 0.000
Ho 0.000 0.374 0.374
Dy 0.000 0.626 0.626
Zn 0.500 0.203 0.203
Zn 0.500 0.797 0.797

=====

(5)
A relaxed structure of Gd3MgZn2Ga2Pd, computed with PBE.

Summary:
E_tot = -3.849 eV per atom
Space-group type = Amm2 (38)
Size of the total moment = 0.02 μB per formula unit

Cell: 4.302 7.157 7.157 Å, 119.88 90.00 90.00°
Element x y z (fractional)
Pd 0.500 0.006 0.006
Zn 0.000 0.998 0.242
Zn 0.000 0.242 0.998
Ga 0.000 0.665 0.331
Ga 0.000 0.331 0.665
Mg 0.000 0.773 0.773
Gd 0.500 0.581 0.001
Gd 0.500 0.403 0.403
Gd 0.500 0.001 0.581

=====

(6)
A relaxed structure of InTe2Mo2, computed with PBE.

Summary:
E_tot = -5.776 eV per atom
Space-group type = I4/mmm (139)
Size of the total moment = 0.46 μB per formula unit

Cell: 5.849 5.849 5.849 Å, 128.73 128.73 75.45°
Element x y z (fractional)
Mo 0.381 0.381 0.000
Mo 0.619 0.619 0.000
Te 0.250 0.750 0.500
Te 0.750 0.250 0.500
In 0.000 0.000 0.000

=====

(7)
A relaxed structure of NdAlNiPd, computed with PBE.

Summary:
Distance to the lowest polymorph of the same formula = 0.006 eV per atom
Space-group type = P6_3mc (186)
Size of the total moment = 0.00 μB per formula unit

Cell: 4.308 4.308 9.570 Å, 90.00 90.00 120.00°
Element x y z (fractional)
Pd 0.333 0.667 0.066
Pd 0.667 0.333 0.566
Al 0.000 0.000 0.492
Al 0.000 0.000 0.992
Nd 0.333 0.667 0.752
Nd 0.667 0.333 0.252
Ni 0.667 0.333 0.940
Ni 0.333 0.667 0.440

=====

(8)
A relaxed structure of MgPdNO, computed with PBE.

Summary:
Distance to the lowest polymorph of the same formula = 0.000 eV per atom
Space-group type = P4/nmm (129)

Cell: 4.237 4.237 4.601 Å, 90.00 90.00 90.00°
Element x y z (fractional)
O 0.500 0.500 0.000
O 0.000 0.000 0.000
Pd 0.500 0.500 0.500
Pd 0.000 0.000 0.500
Mg 0.500 0.000 0.004
Mg 0.000 0.500 0.996
N 0.000 0.500 0.487
N 0.500 0.000 0.513

=====

(9)
A relaxed structure of YErBiI2, computed with PBE.

Summary:
E_tot = -4.745 eV per atom
Space-group type = P3m1 (156)
Size of the total moment = 0.00 μB per formula unit

Cell: 4.370 4.370 11.237 Å, 90.00 90.00 120.00°
Element x y z (fractional)
Er 0.667 0.333 0.846
I 0.000 0.000 0.678
I 0.667 0.333 0.324
Y 0.000 0.000 0.154
Bi 0.333 0.667 0.998

=====

(10)
A relaxed structure of NdTlPt, computed with PBE.

Summary:
E_tot = -4.568 eV per atom
Space-group type = F-43m (216)
Size of the total moment = 0.00 μB per formula unit

Cell: 4.938 4.938 4.938 Å, 60.00 60.00 60.00°
Element x y z (fractional)
Pt 0.250 0.250 0.250
Tl 0.750 0.750 0.750
Nd 0.000 0.000 0.000

=====

(11)
A relaxed structure of BiMo3CN, computed with PBE.

Summary:
E_tot = -8.808 eV per atom
Space-group type = P-3m1 (164)
Size of the total moment = 0.00 μB per formula unit

Cell: 3.288 3.288 18.270 Å, 90.00 90.00 120.00°
Element x y z (fractional)
C 0.333 0.667 0.070
C 0.667 0.333 0.930
Mo 0.667 0.333 0.387
Mo 0.333 0.667 0.881
Mo 0.000 0.000 0.000
Mo 0.333 0.667 0.613
Mo 0.667 0.333 0.119
Mo 0.000 0.000 0.500
Bi 0.000 0.000 0.252
Bi 0.000 0.000 0.748
N 0.333 0.667 0.431
N 0.667 0.333 0.569

=====

(12)
A relaxed structure of SbTeW, computed with PBE.

Summary:
Distance to the lowest polymorph of the same formula = 0.000 eV per atom
Space-group type = F-43m (216)
Size of the total moment = 1.74 μB per formula unit

Cell: 4.739 4.739 4.739 Å, 60.00 60.00 60.00°
Element x y z (fractional)
W 0.000 0.000 0.000
Sb 0.250 0.250 0.250
Te 0.750 0.750 0.750

=====

(13)
A relaxed structure of GdEr2Ga3Ge2Pd, computed with PBE.

Summary:
E_tot = -4.921 eV per atom
Space-group type = Amm2 (38)
Size of the total moment = 0.00 μB per formula unit

Cell: 4.229 7.017 7.017 Å, 120.43 90.00 90.00°
Element x y z (fractional)
Ge 0.500 0.330 0.668
Ge 0.500 0.668 0.330
Ga 0.500 0.001 0.763
Ga 0.500 0.238 0.238
Ga 0.500 0.763 0.001
Gd 0.000 0.587 0.587
Pd 0.000 0.005 0.005
Er 0.000 0.999 0.410
Er 0.000 0.410 0.999

=====

(14)
A relaxed structure of La2NdMg3Tl2Cd, computed with PBE.

Summary:
E_tot = -3.123 eV per atom
Space-group type = Amm2 (38)
Size of the total moment = 0.00 μB per formula unit

Cell: 4.807 7.786 7.786 Å, 119.86 90.00 90.00°
Element x y z (fractional)
Cd 0.000 0.002 0.002
Mg 0.500 0.001 0.238
Mg 0.500 0.238 0.001
Mg 0.500 0.762 0.762
Tl 0.500 0.334 0.665
Tl 0.500 0.665 0.334
La 0.000 0.000 0.578
La 0.000 0.578 0.000
Nd 0.000 0.421 0.421

=====

(15)
A relaxed structure of DyYIn, computed with PBE.

Summary:
Distance to the lowest polymorph of the same formula = 0.000 eV per atom
Space-group type = F-43m (216)
Size of the total moment = 0.03 μB per formula unit

Cell: 5.177 5.177 5.177 Å, 60.00 60.00 60.00°
Element x y z (fractional)
Y 0.750 0.750 0.750
Dy 0.250 0.250 0.250
In 0.000 0.000 0.000

=====

(16)
A relaxed structure of LaPmPrNO2, computed with PBE.

Summary:
E_tot = -7.808 eV per atom
Space-group type = P3m1 (156)
Size of the total moment = 0.01 μB per formula unit

Cell: 3.592 3.592 8.829 Å, 90.00 90.00 120.00°
Element x y z (fractional)
N 0.667 0.333 0.489
La 0.000 0.000 0.662
Pr 0.667 0.333 0.001
O 0.000 0.000 0.169
O 0.333 0.667 0.843
Pm 0.333 0.667 0.336

=====

(17)
A relaxed structure of LiHfCuAs, computed with PBE.

Summary:
Distance to the lowest polymorph of the same formula = 0.053 eV per atom
Space-group type = F-43m (216)
Size of the total moment = 0.00 μB per formula unit

Cell: 4.477 4.477 4.477 Å, 60.00 60.00 60.00°
Element x y z (fractional)
As 0.000 0.000 0.000
Cu 0.750 0.750 0.750
Li 0.250 0.250 0.250
Hf 0.500 0.500 0.500

=====

(18)
A relaxed structure of LiSmYS3, computed with PBE.

Summary:
E_tot = -6.123 eV per atom
Space-group type = C2/m (12)
Size of the total moment = 0.00 μB per formula unit

Cell: 8.542 8.542 8.049 Å, 103.68 103.68 25.85°
Element x y z (fractional)
Y 0.834 0.834 0.413
Y 0.166 0.166 0.587
S 0.664 0.664 0.341
S 0.322 0.322 0.163
S 0.336 0.336 0.659
S 0.678 0.678 0.837
S 0.500 0.500 0.000
S 0.000 0.000 0.500
Li 0.497 0.497 0.693
Li 0.503 0.503 0.307
Sm 0.138 0.138 0.070
Sm 0.862 0.862 0.930

=====

(19)
A relaxed structure of Pr3GeSe2, computed with PBE.

Summary:
E_tot = -5.916 eV per atom
Space-group type = Immm (71)
Size of the total moment = 0.01 μB per formula unit

Cell: 7.449 7.449 7.449 Å, 146.33 132.01 59.90°
Element x y z (fractional)
Se 0.333 0.333 0.000
Se 0.667 0.667 0.000
Pr 0.161 0.661 0.500
Pr 0.839 0.339 0.500
Pr 0.500 0.000 0.500
Ge 0.000 0.000 0.000

=====

(20)
A relaxed structure of ZrP2C, computed with PBE.

Summary:
E_tot = -6.579 eV per atom
Space-group type = P6_3/mmc (194)
Size of the total moment = 0.00 μB per formula unit

Cell: 3.003 3.003 13.700 Å, 90.00 90.00 120.00°
Element x y z (fractional)
C 0.000 0.000 0.500
C 0.000 0.000 0.000
P 0.333 0.667 0.409
P 0.333 0.667 0.091
P 0.667 0.333 0.909
P 0.667 0.333 0.591
Zr 0.333 0.667 0.750
Zr 0.667 0.333 0.250